# AlCuGe

A geometry-optimized AlCuGe structure (PBE-GGA, Alexandria via LeMat-Bulk).

Output
As for the energy relative to the elements: 0.03 eV/atom. As for the crystal system: triclinic.

Unit cell a=3.8035 b=4.6944 c=6.2637 alpha=77.78 beta=72.47 gamma=66.14
Space group P1 (No. 1)
Unique sites:
1 Al 0.0000 0.0000 0.0000
2 Al 0.4123 0.4711 0.7030
3 Cu 0.6825 0.8864 0.7478
4 Cu 0.9772 0.6620 0.3819
5 Ge 0.2221 0.0758 0.4768
6 Ge 0.6614 0.5536 0.1223

# HfMo3Cl

A geometry-optimized HfMo3Cl structure (PBE-GGA, Alexandria via LeMat-Bulk).

Output
The relative energy among the computed polymorphs comes out at 1.541 eV/atom. As for the crystal system: cubic.

Unit cell a=4.8915 b=4.8915 c=4.8915 alpha=90.00 beta=90.00 gamma=90.00
Space group Pm-3m (No. 221)
Unique sites:
1 Hf 0.0000 0.0000 0.0000
2 Mo 0.0000 0.0000 0.5000
3 Cl 0.5000 0.5000 0.5000

# SiHg4

A geometry-optimized SiHg4 structure (PBE-GGA, Alexandria via LeMat-Bulk).

Output
The relative energy among the computed polymorphs comes out at 0.089 eV/atom. As for the crystal system: trigonal.

Unit cell a=3.4189 b=3.4189 c=12.2735 alpha=90.00 beta=90.00 gamma=120.00
Space group P-3m1 (No. 164)
Unique sites:
1 Si 0.0000 0.0000 0.0000
2 Hg 0.3333 0.6667 0.1665
3 Hg 0.3333 0.6667 0.3989

# ZnGeS2

A geometry-optimized ZnGeS2 structure (PBE-GGA, Alexandria via LeMat-Bulk).

Output
As for the crystal system: trigonal.

Unit cell a=3.6683 b=3.6683 c=21.7395 alpha=90.00 beta=90.00 gamma=120.00
Space group R-3m (No. 166, hexagonal axes)
Unique sites:
1 Zn 0.0000 0.0000 0.0000
2 Ge 0.0000 0.0000 0.5000
3 S 0.0000 0.0000 0.3928

no.,electronic total energy (eV/f.u.)
1,-12.38
2,-32.84
3,-5.24
4,-14.08